# 1
Zn2Hg2Bi | PBE-GGA | optimized geometry

Output
Total magnetic moment ... 0.00 μB/f.u.
ΔH_f (0 K) ... 0.152 eV/atom
Excess energy over the best structure of this formula in the dataset ... 14 meV/atom
Final energy ... -1.255 eV per atom

Cell: 7.267 7.267 7.267 Å, 146.78 146.78 47.69°
Fractional coordinates of all 5 atoms:
Zn (0.250, 0.750, 0.500)
Zn (0.750, 0.250, 0.500)
Hg (0.112, 0.112, 0.000)
Hg (0.888, 0.888, 0.000)
Bi (0.500, 0.500, 0.000)

---

# 2
Zn5Hg12Bi3 | PBE-GGA | optimized geometry

Output
Total magnetic moment ... 0.00 μB/f.u.
ΔH_f (0 K) ... 0.157 eV/atom
Final energy ... -0.925 eV per atom

Cell: 14.554 14.554 14.554 Å, 109.47 109.47 109.47°
Fractional coordinates of all 80 atoms:
Zn (0.000, 0.000, 0.000)
Zn (0.000, 0.000, 0.500)
Zn (0.000, 0.500, 0.000)
Zn (0.000, 0.500, 0.500)
Zn (0.125, 0.750, 0.875)
Zn (0.125, 0.875, 0.250)
Zn (0.250, 0.125, 0.875)
Zn (0.250, 0.625, 0.375)
Zn (0.375, 0.250, 0.625)
Zn (0.375, 0.625, 0.750)
Zn (0.500, 0.000, 0.000)
Zn (0.500, 0.000, 0.500)
Zn (0.500, 0.500, 0.000)
Zn (0.500, 0.500, 0.500)
Zn (0.625, 0.375, 0.250)
Zn (0.625, 0.750, 0.375)
Zn (0.750, 0.375, 0.625)
Zn (0.750, 0.875, 0.125)
Zn (0.875, 0.125, 0.750)
Zn (0.875, 0.250, 0.125)
Hg (0.042, 0.217, 0.119)
Hg (0.042, 0.325, 0.923)
Hg (0.077, 0.619, 0.402)
Hg (0.077, 0.958, 0.675)
Hg (0.098, 0.717, 0.675)
Hg (0.098, 0.881, 0.423)
Hg (0.119, 0.042, 0.217)
Hg (0.119, 0.577, 0.902)
Hg (0.175, 0.217, 0.598)
Hg (0.175, 0.458, 0.577)
Hg (0.217, 0.119, 0.042)
Hg (0.217, 0.598, 0.175)
Hg (0.283, 0.325, 0.902)
Hg (0.283, 0.458, 0.381)
Hg (0.325, 0.902, 0.283)
Hg (0.325, 0.923, 0.042)
Hg (0.381, 0.283, 0.458)
Hg (0.381, 0.598, 0.923)
Hg (0.402, 0.077, 0.619)
Hg (0.402, 0.825, 0.783)
Hg (0.423, 0.098, 0.881)
Hg (0.423, 0.825, 0.542)
Hg (0.458, 0.381, 0.283)
Hg (0.458, 0.577, 0.175)
Hg (0.542, 0.423, 0.825)
Hg (0.542, 0.619, 0.717)
Hg (0.577, 0.175, 0.458)
Hg (0.577, 0.902, 0.119)
Hg (0.598, 0.175, 0.217)
Hg (0.598, 0.923, 0.381)
Hg (0.619, 0.402, 0.077)
Hg (0.619, 0.717, 0.542)
Hg (0.675, 0.077, 0.958)
Hg (0.675, 0.098, 0.717)
Hg (0.717, 0.542, 0.619)
Hg (0.717, 0.675, 0.098)
Hg (0.783, 0.402, 0.825)
Hg (0.783, 0.881, 0.958)
Hg (0.825, 0.542, 0.423)
Hg (0.825, 0.783, 0.402)
Hg (0.881, 0.423, 0.098)
Hg (0.881, 0.958, 0.783)
Hg (0.902, 0.119, 0.577)
Hg (0.902, 0.283, 0.325)
Hg (0.923, 0.042, 0.325)
Hg (0.923, 0.381, 0.598)
Hg (0.958, 0.675, 0.077)
Hg (0.958, 0.783, 0.881)
Bi (0.125, 0.250, 0.375)
Bi (0.125, 0.375, 0.750)
Bi (0.250, 0.375, 0.125)
Bi (0.250, 0.875, 0.625)
Bi (0.375, 0.125, 0.250)
Bi (0.375, 0.750, 0.125)
Bi (0.625, 0.250, 0.875)
Bi (0.625, 0.875, 0.750)
Bi (0.750, 0.125, 0.375)
Bi (0.750, 0.625, 0.875)
Bi (0.875, 0.625, 0.250)
Bi (0.875, 0.750, 0.625)

---

# 3
Zn3HgBi3 | PBE-GGA | optimized geometry

Output
Total magnetic moment ... 0.00 μB/f.u.
ΔH_f (0 K) ... 0.285 eV/atom
Final energy ... -1.967 eV per atom

Cell: 7.805 7.805 7.805 Å, 90.00 90.00 90.00°
Fractional coordinates of all 14 atoms:
Zn (0.000, 0.250, 0.500)
Zn (0.000, 0.750, 0.500)
Zn (0.250, 0.500, 0.000)
Zn (0.500, 0.000, 0.250)
Zn (0.500, 0.000, 0.750)
Zn (0.750, 0.500, 0.000)
Hg (0.000, 0.000, 0.000)
Hg (0.500, 0.500, 0.500)
Bi (0.000, 0.500, 0.250)
Bi (0.000, 0.500, 0.750)
Bi (0.250, 0.000, 0.500)
Bi (0.500, 0.250, 0.000)
Bi (0.500, 0.750, 0.000)
Bi (0.750, 0.000, 0.500)

---

# 4
Zn2Hg2Bi | PBE-GGA | optimized geometry

Output
Total magnetic moment ... 0.00 μB/f.u.
ΔH_f (0 K) ... 0.155 eV/atom
Excess energy over the best structure of this formula in the dataset ... 18 meV/atom
Final energy ... -1.251 eV per atom

Cell: 7.089 7.089 7.089 Å, 145.24 145.24 49.97°
Fractional coordinates of all 5 atoms:
Zn (0.097, 0.097, 0.000)
Zn (0.903, 0.903, 0.000)
Hg (0.250, 0.750, 0.500)
Hg (0.750, 0.250, 0.500)
Bi (0.500, 0.500, 0.000)

---

# 5
ZnHgBi | PBE-GGA | optimized geometry

Output
Total magnetic moment ... 0.00 μB/f.u.
ΔH_f (0 K) ... 0.125 eV/atom
Excess energy over the best structure of this formula in the dataset ... 12 meV/atom
Final energy ... -1.694 eV per atom

Cell: 4.807 4.807 4.807 Å, 60.00 60.00 60.00°
Fractional coordinates of all 3 atoms:
Zn (0.000, 0.000, 0.000)
Hg (0.250, 0.250, 0.250)
Bi (0.750, 0.750, 0.750)

---

# 6
ZnHg2Bi | PBE-GGA | optimized geometry

Output
Total magnetic moment ... 0.00 μB/f.u.
ΔH_f (0 K) ... 0.148 eV/atom
Excess energy over the best structure of this formula in the dataset ... 52 meV/atom
Final energy ... -1.291 eV per atom

Cell: 3.639 3.639 7.415 Å, 90.00 90.00 90.00°
Fractional coordinates of all 4 atoms:
Zn (0.000, 0.000, 0.000)
Hg (0.500, 0.500, 0.209)
Hg (0.500, 0.500, 0.791)
Bi (0.000, 0.000, 0.500)

---

# 7
ZnHgBi | PBE-GGA | optimized geometry

Output
Total magnetic moment ... 0.00 μB/f.u.
ΔH_f (0 K) ... 0.118 eV/atom
Excess energy over the best structure of this formula in the dataset ... 5 meV/atom
Final energy ... -1.701 eV per atom

Cell: 3.666 3.666 6.565 Å, 90.00 90.00 120.00°
Fractional coordinates of all 3 atoms:
Zn (0.000, 0.000, 0.000)
Hg (0.667, 0.333, 0.284)
Bi (0.333, 0.667, 0.676)

---

# 8
Zn2Hg2Bi | PBE-GGA | optimized geometry

Output
Total magnetic moment ... 0.00 μB/f.u.
ΔH_f (0 K) ... 0.148 eV/atom
Excess energy over the best structure of this formula in the dataset ... 10 meV/atom
Final energy ... -1.259 eV per atom

Cell: 8.234 8.234 3.371 Å, 90.00 90.00 90.00°
Fractional coordinates of all 10 atoms:
Zn (0.159, 0.341, 0.000)
Zn (0.341, 0.841, 0.000)
Zn (0.659, 0.159, 0.000)
Zn (0.841, 0.659, 0.000)
Hg (0.138, 0.638, 0.500)
Hg (0.362, 0.138, 0.500)
Hg (0.638, 0.862, 0.500)
Hg (0.862, 0.362, 0.500)
Bi (0.000, 0.000, 0.500)
Bi (0.500, 0.500, 0.500)

---

# 9
ZnHg2Bi | PBE-GGA | optimized geometry

Output
Total magnetic moment ... 0.00 μB/f.u.
ΔH_f (0 K) ... 0.156 eV/atom
Excess energy over the best structure of this formula in the dataset ... 59 meV/atom
Final energy ... -1.284 eV per atom

Cell: 10.092 10.092 10.092 Å, 152.72 152.72 38.96°
Fractional coordinates of all 8 atoms:
Zn (0.000, 0.000, 0.000)
Zn (0.750, 0.250, 0.500)
Hg (0.068, 0.625, 0.943)
Hg (0.375, 0.318, 0.443)
Hg (0.682, 0.125, 0.057)
Hg (0.875, 0.932, 0.557)
Bi (0.250, 0.750, 0.500)
Bi (0.500, 0.500, 0.000)

---

# 10
ZnHg2Bi | PBE-GGA | optimized geometry

Output
Total magnetic moment ... 0.00 μB/f.u.
ΔH_f (0 K) ... 0.186 eV/atom
Excess energy over the best structure of this formula in the dataset ... 90 meV/atom
Final energy ... -1.253 eV per atom

Cell: 5.219 5.219 5.219 Å, 60.00 60.00 60.00°
Fractional coordinates of all 4 atoms:
Zn (0.000, 0.000, 0.000)
Hg (0.250, 0.250, 0.250)
Hg (0.750, 0.750, 0.750)
Bi (0.500, 0.500, 0.500)

---

# 11
ZnHg2Bi | PBE-GGA | optimized geometry

Output
Total magnetic moment ... 0.00 μB/f.u.
ΔH_f (0 K) ... 0.142 eV/atom
Excess energy over the best structure of this formula in the dataset ... 46 meV/atom
Final energy ... -1.298 eV per atom

Cell: 6.372 6.372 6.372 Å, 41.71 41.71 41.71°
Fractional coordinates of all 4 atoms:
Zn (0.000, 0.000, 0.000)
Hg (0.392, 0.392, 0.392)
Hg (0.597, 0.597, 0.597)
Bi (0.826, 0.826, 0.826)

---

# 12
ZnHgBi | PBE-GGA | optimized geometry

Output
Total magnetic moment ... 0.00 μB/f.u.
ΔH_f (0 K) ... 0.151 eV/atom
Excess energy over the best structure of this formula in the dataset ... 38 meV/atom
Final energy ... -1.668 eV per atom

Cell: 7.033 7.033 7.033 Å, 152.48 152.48 39.32°
Fractional coordinates of all 3 atoms:
Zn (0.000, 0.000, 0.000)
Hg (0.635, 0.635, 0.000)
Bi (0.338, 0.338, 0.000)

---

# 13
Zr6HgBi | PBE-GGA | optimized geometry

Output
Total magnetic moment ... 0.00 μB/f.u.
ΔH_f (0 K) ... -0.157 eV/atom
Excess energy over the best structure of this formula in the dataset ... 29 meV/atom
Final energy ... -7.091 eV per atom

Cell: 4.510 4.510 8.866 Å, 90.00 90.00 90.00°
Fractional coordinates of all 8 atoms:
Zr (0.000, 0.000, 0.000)
Zr (0.000, 0.000, 0.500)
Zr (0.000, 0.500, 0.246)
Zr (0.000, 0.500, 0.754)
Zr (0.500, 0.000, 0.246)
Zr (0.500, 0.000, 0.754)
Hg (0.500, 0.500, 0.000)
Bi (0.500, 0.500, 0.500)

---

# 14
Zr3Hg2Bi | PBE-GGA | optimized geometry

Output
Total magnetic moment ... 0.00 μB/f.u.
ΔH_f (0 K) ... -0.199 eV/atom
Final energy ... -5.221 eV per atom

Cell: 7.301 7.301 4.283 Å, 90.00 90.00 143.67°
Fractional coordinates of all 6 atoms:
Zr (0.000, 0.000, 0.000)
Zr (0.331, 0.669, 0.000)
Zr (0.669, 0.331, 0.000)
Hg (0.174, 0.826, 0.500)
Hg (0.826, 0.174, 0.500)
Bi (0.500, 0.500, 0.500)

---

# 15
Zr2Hg2Bi | PBE-GGA | optimized geometry

Output
Total magnetic moment ... 0.00 μB/f.u.
ΔH_f (0 K) ... -0.073 eV/atom
Excess energy over the best structure of this formula in the dataset ... 0 meV/atom
Final energy ... -4.389 eV per atom

Cell: 7.617 7.617 4.289 Å, 90.00 90.00 90.00°
Fractional coordinates of all 10 atoms:
Zr (0.150, 0.350, 0.000)
Zr (0.350, 0.850, 0.000)
Zr (0.650, 0.150, 0.000)
Zr (0.850, 0.650, 0.000)
Hg (0.147, 0.647, 0.500)
Hg (0.353, 0.147, 0.500)
Hg (0.647, 0.853, 0.500)
Hg (0.853, 0.353, 0.500)
Bi (0.000, 0.000, 0.000)
Bi (0.500, 0.500, 0.000)

---

# 16
Zr2HgBi | PBE-GGA | optimized geometry

Output
Total magnetic moment ... 0.00 μB/f.u.
ΔH_f (0 K) ... -0.172 eV/atom
Excess energy over the best structure of this formula in the dataset ... 18 meV/atom
Final energy ... -5.492 eV per atom

Cell: 3.765 3.765 6.555 Å, 90.00 90.00 90.00°
Fractional coordinates of all 4 atoms:
Zr (0.000, 0.000, 0.250)
Zr (0.000, 0.000, 0.750)
Hg (0.500, 0.500, 0.000)
Bi (0.500, 0.500, 0.500)

---

# 17
Zr2HgBi | PBE-GGA | optimized geometry

Output
Total magnetic moment ... 0.00 μB/f.u.
ΔH_f (0 K) ... -0.104 eV/atom
Excess energy over the best structure of this formula in the dataset ... 86 meV/atom
Final energy ... -5.424 eV per atom

Cell: 5.084 5.084 5.084 Å, 60.00 60.00 60.00°
Fractional coordinates of all 4 atoms:
Zr (0.250, 0.250, 0.250)
Zr (0.750, 0.750, 0.750)
Hg (0.000, 0.000, 0.000)
Bi (0.500, 0.500, 0.500)

---

# 18
Zr2HgBi | PBE-GGA | optimized geometry

Output
Total magnetic moment ... 0.00 μB/f.u.
ΔH_f (0 K) ... -0.190 eV/atom
Excess energy over the best structure of this formula in the dataset ... 0 meV/atom
Final energy ... -5.509 eV per atom

Cell: 4.646 4.646 4.276 Å, 90.00 90.00 90.00°
Fractional coordinates of all 4 atoms:
Zr (0.000, 0.500, 0.000)
Zr (0.500, 0.000, 0.000)
Hg (0.000, 0.000, 0.500)
Bi (0.500, 0.500, 0.500)

---

# 19
Zr2Hg2Bi | PBE-GGA | optimized geometry

Output
Total magnetic moment ... 0.00 μB/f.u.
ΔH_f (0 K) ... 0.029 eV/atom
Excess energy over the best structure of this formula in the dataset ... 103 meV/atom
Final energy ... -4.287 eV per atom

Cell: 8.510 8.510 3.353 Å, 90.00 90.00 90.00°
Fractional coordinates of all 10 atoms:
Zr (0.168, 0.332, 0.000)
Zr (0.332, 0.832, 0.000)
Zr (0.668, 0.168, 0.000)
Zr (0.832, 0.668, 0.000)
Hg (0.127, 0.627, 0.500)
Hg (0.373, 0.127, 0.500)
Hg (0.627, 0.873, 0.500)
Hg (0.873, 0.373, 0.500)
Bi (0.000, 0.000, 0.500)
Bi (0.500, 0.500, 0.500)

---

# 20
ZrHg2Bi2 | PBE-GGA | optimized geometry

Output
Total magnetic moment ... 0.00 μB/f.u.
ΔH_f (0 K) ... 0.180 eV/atom
Excess energy over the best structure of this formula in the dataset ... 0 meV/atom
Final energy ... -3.203 eV per atom

Cell: 7.974 7.974 4.177 Å, 90.00 90.00 90.00°
Fractional coordinates of all 10 atoms:
Zr (0.000, 0.000, 0.000)
Zr (0.500, 0.500, 0.000)
Hg (0.134, 0.366, 0.000)
Hg (0.366, 0.866, 0.000)
Hg (0.634, 0.134, 0.000)
Hg (0.866, 0.634, 0.000)
Bi (0.169, 0.669, 0.500)
Bi (0.331, 0.169, 0.500)
Bi (0.669, 0.831, 0.500)
Bi (0.831, 0.331, 0.500)